Entry from the Alexandria database: a geometry-optimized Ba3GaFe2O8 structure (PBE with a Hubbard U).

Computed properties:
DOS(E_F) (states/eV per cell): 8.77
Final energy (eV per atom): -6.25
Space-group type: No. 164

Cell lengths 5.7899, 5.7899, 7.5061 Å; angles 90.00, 90.00, 120.00 degrees
Element x y z (fractional)
1 Ba 0.0000 0.0000 0.0000
2 Ba 0.3333 0.6667 0.6559
3 Ba 0.6667 0.3333 0.3441
4 Ga 0.0000 0.0000 0.5000
5 Fe 0.3333 0.6667 0.2302
6 Fe 0.6667 0.3333 0.7698
7 O 0.1612 0.3223 0.3345
8 O 0.1612 0.8388 0.3345
9 O 0.3223 0.1612 0.6655
10 O 0.3333 0.6667 0.9911
11 O 0.6667 0.3333 0.0089
12 O 0.6777 0.8388 0.3345
13 O 0.8388 0.1612 0.6655
14 O 0.8388 0.6777 0.6655